# PBE PrEr3Mg, optimized geometry
# - Energy above the lowest structure with this stoichiometry: 0 meV per atom
# - ΔH_f (0 K): -0.06 eV/f.u.
data_PrEr3Mg
_chemical_formula_sum 'Pr2 Er6 Mg2'
_cell_length_a 3.676
_cell_length_b 6.747
_cell_length_c 12.749
_cell_angle_alpha 93.34
_cell_angle_beta 90.03
_cell_angle_gamma 105.80
_symmetry_space_group_name_H-M 'P -1'
_symmetry_Int_Tables_number 2
loop_
_symmetry_equiv_pos_as_xyz
'x,y,z'
'-x,-y,-z'
loop_
_atom_site_label
_atom_site_type_symbol
_atom_site_fract_x
_atom_site_fract_y
_atom_site_fract_z
Pr1 Pr 0.236 0.472 0.259
Er1 Er 0.035 0.070 0.686
Er2 Er 0.150 0.300 0.942
Er3 Er 0.366 0.733 0.522
Mg1 Mg 0.446 0.891 0.877